Below is a geometry-optimized CoSbCl2 structure, with properties calculated at the GGA-PBEsol level.

a = 4.885 Å, b = 4.885 Å, c = 3.149 Å
α = 90.00°, β = 90.00°, γ = 90.00°
Fractional coordinates of all 4 atoms:
Co 0.000 0.000 0.000
Sb 0.500 0.500 0.000
Cl 0.000 0.500 0.500
Cl 0.500 0.000 0.500

* SG: P4/mmm, No. 123
* ΔE_f (raw): 0.53 eV/atom


Below is a geometry-optimized Rb3ErCl6 structure, with properties calculated at the GGA-PBEsol level.

a = 7.935 Å, b = 7.935 Å, c = 7.935 Å
α = 60.00°, β = 60.00°, γ = 60.00°
Fractional coordinates of all 10 atoms:
Rb 0.000 0.000 0.000
Rb 0.250 0.250 0.250
Rb 0.750 0.750 0.750
Er 0.500 0.500 0.500
Cl 0.271 0.271 0.729
Cl 0.271 0.729 0.271
Cl 0.271 0.729 0.729
Cl 0.729 0.271 0.271
Cl 0.729 0.271 0.729
Cl 0.729 0.729 0.271

* SG: Fm-3m, No. 225
* ΔE_f (raw): -2.07 eV/atom


Below is a geometry-optimized Al2ZnCr structure, with properties calculated at the GGA-PBEsol level.

a = 3.157 Å, b = 3.157 Å, c = 5.586 Å
α = 90.00°, β = 90.00°, γ = 90.00°
Fractional coordinates of all 4 atoms:
Al 0.000 0.000 0.238
Al 0.000 0.000 0.762
Zn 0.500 0.500 0.500
Cr 0.500 0.500 0.000

* SG: P4/mmm, No. 123
* energy of formation from the pure elements: 0.011 eV/atom


Below is a geometry-optimized YB2Sb2 structure, with properties calculated at the GGA-PBEsol level.

a = 7.305 Å, b = 7.305 Å, c = 7.305 Å
α = 150.02°, β = 150.02°, γ = 42.91°
Fractional coordinates of all 5 atoms:
Y 0.000 0.000 0.000
B 0.250 0.750 0.500
B 0.750 0.250 0.500
Sb 0.361 0.361 0.000
Sb 0.639 0.639 0.000

* SG: I4/mmm, No. 139
* ΔE_f (raw): 0.68 eV/atom


So what do the calculations give for DOS(E_F)? Going down the list: 5.53; 0.00; 2.31; 2.30 states/eV/f.u..